Arrangement one

First-principles (PBE+U) data for a relaxed P2OsWO crystal, as listed in Alexandria via LeMat-Bulk.

Geometry as CIF:
```
data_P2OsWO
_space_group_name_H-M_alt 'P 1'
_space_group_IT_number 1
_cell_length_a 4.858
_cell_length_b 4.858
_cell_length_c 3.714
_cell_angle_alpha 90.00
_cell_angle_beta 90.00
_cell_angle_gamma 90.00
loop_
_space_group_symop_operation_xyz
'x,y,z'
loop_
_atom_site_label
_atom_site_type_symbol
_atom_site_fract_x
_atom_site_fract_y
_atom_site_fract_z
Os1 Os 0.500 0.500 0.500
W1 W 0.000 0.000 0.000
P1 P 0.500 0.000 0.000
P2 P 0.000 0.500 0.000
O1 O 0.000 0.000 0.500
```

Results
N(E_F) ... 4.09 states/eV/cell
Space group ... P4/mmm (123)
Magnetization ... 3.1 Bohr magnetons per cell


Arrangement two

First-principles (PBE+U) data for a relaxed P2OsWO crystal, as listed in Alexandria via LeMat-Bulk.

Geometry as CIF:
```
data_P2OsWO
_space_group_name_H-M_alt 'P 1'
_space_group_IT_number 1
_cell_length_a 4.845
_cell_length_b 4.845
_cell_length_c 3.624
_cell_angle_alpha 90.00
_cell_angle_beta 90.00
_cell_angle_gamma 90.00
loop_
_space_group_symop_operation_xyz
'x,y,z'
loop_
_atom_site_label
_atom_site_type_symbol
_atom_site_fract_x
_atom_site_fract_y
_atom_site_fract_z
Os1 Os 0.000 0.000 0.000
O1 O 0.000 0.000 0.500
P1 P 0.000 0.500 0.000
P2 P 0.500 0.000 0.000
W1 W 0.500 0.500 0.500
```

Results
N(E_F) ... 2.85 states/eV/cell
Space group ... P4/mmm (123)
Magnetization ... 3.2 Bohr magnetons per cell


Energies relative to the most stable structure are arrangement one 258; arrangement two 0, reported in meV/atom.